GGA-PBE CaHgBr, optimized geometry; V = 33.13 Å³ per atom; magnetic moment = 0.00 μB/cell; electronic total energy = -2.4441 eV per atom; excess energy over the best structure of this formula in the dataset = 14.5 meV/atom
1.0
4.330 0.000 0.000
-2.154 3.758 0.000
-1.128 -1.808 12.214
Ca Hg Br
2 2 2
direct
0.000 0.000 0.000
0.224 0.213 0.448
0.417 0.746 0.166
0.809 0.468 0.283
0.269 0.604 0.870
0.620 0.939 0.572